This record from OQMD describes NdFeNiP2 after structural relaxation. The functional is GGA-PBE.

CIF file:
```
data_NdFeNiP2
_symmetry_space_group_name_H-M 'I -4 m 2'
_symmetry_Int_Tables_number 119
_symmetry_space_group_name_Hall 'I -4 -2'
_cell_length_a 3.9150
_cell_length_b 3.9150
_cell_length_c 9.8152
_cell_angle_alpha 90.00
_cell_angle_beta 90.00
_cell_angle_gamma 90.00
loop_
_atom_site_label
_atom_site_type_symbol
_atom_site_fract_x
_atom_site_fract_y
_atom_site_fract_z
Nd1 Nd 0.0000 0.0000 0.0000
Fe1 Fe 0.0000 0.5000 0.7500
Ni1 Ni 0.0000 0.5000 0.2500
P1 P 0.0000 0.0000 0.3669
```

***

This record from OQMD describes Tm3In3PdAu2 after structural relaxation. The functional is GGA-PBE.

CIF file:
```
data_Tm3In3PdAu2
_symmetry_space_group_name_H-M 'P -6 2 m'
_symmetry_Int_Tables_number 189
_symmetry_space_group_name_Hall 'P -6 -2'
_cell_length_a 7.7577
_cell_length_b 7.7577
_cell_length_c 3.8295
_cell_angle_alpha 90.00
_cell_angle_beta 90.00
_cell_angle_gamma 120.00
loop_
_atom_site_label
_atom_site_type_symbol
_atom_site_fract_x
_atom_site_fract_y
_atom_site_fract_z
Tm1 Tm 0.0000 0.4029 0.0000
In1 In 0.0000 0.7416 0.5000
Pd1 Pd 0.0000 0.0000 0.0000
Au1 Au 0.3333 0.6667 0.5000
```

***

This record from OQMD describes TmB2Mo2 after structural relaxation. The functional is GGA-PBE.

CIF file:
```
data_TmB2Mo2
_symmetry_space_group_name_H-M 'I 4/m m m'
_symmetry_Int_Tables_number 139
_symmetry_space_group_name_Hall '-I 4 2'
_cell_length_a 3.6514
_cell_length_b 3.6514
_cell_length_c 10.1849
_cell_angle_alpha 90.00
_cell_angle_beta 90.00
_cell_angle_gamma 90.00
loop_
_atom_site_label
_atom_site_type_symbol
_atom_site_fract_x
_atom_site_fract_y
_atom_site_fract_z
Tm1 Tm 0.0000 0.0000 0.0000
B1 B 0.0000 0.0000 0.4110
Mo1 Mo 0.0000 0.5000 0.2500
```

***

Calculated uncorrected energy (eV per atom), listed in the same order as above: -6.828 -4.488 -8.270
Calculated mass density (g cm⁻³), listed in the same order as above: 7.1 11.2 9.4